DFT (PBE) results for an optimized crystal structure of TcHgAs.

Geometry as POSCAR:
```
TcHgAs
1.0
3.0919 0.0000 0.0000
-1.5460 2.6777 0.0000
0.0000 0.0000 6.9644
Tc Hg As
1 1 1
direct
0.0000 0.0000 0.0000 Tc
0.6667 0.3333 0.6598 Hg
0.3333 0.6667 0.2441 As
```

## Properties
Energy above the lowest structure with this stoichiometry, meV per atom: 0
Energy of formation, meV per atom: 147
DFT total energy, eV/atom: -4.959